Below is a relaxed CrSbOF2 crystal, with properties calculated at the GGA+U level.

## Properties
- spin magnetization (μB/f.u.) = 5.03
- N(E_F) (states/eV per cell) = 0.4
- energy relative to the lowest polymorph listed for this composition (meV per atom) = 168

```
data_CrSbOF2
_chemical_formula_sum 'Cr1 Sb1 O1 F2'
_symmetry_space_group_name_H-M 'P 1'
_symmetry_Int_Tables_number 1
_cell_length_a 4.515
_cell_length_b 4.515
_cell_length_c 4.272
_cell_angle_alpha 90.00
_cell_angle_beta 90.00
_cell_angle_gamma 90.00
loop_
_symmetry_equiv_pos_as_xyz
'x,y,z'
loop_
_atom_site_label
_atom_site_fract_x
_atom_site_fract_y
_atom_site_fract_z
Cr1 0.000 0.000 0.000
Sb1 0.500 0.500 0.500
O1 0.500 0.500 0.000
F1 0.000 0.500 0.500
F2 0.500 0.000 0.500
```